# MgGaHgBi, optimized geometry, DFT PBE-GGA
data_MgGaHgBi
_cell_length_a 7.386
_cell_length_b 7.386
_cell_length_c 7.386
_cell_angle_alpha 90.00
_cell_angle_beta 90.00
_cell_angle_gamma 90.00
_space_group_name_H-M_alt 'F -4 3 m'
_space_group_IT_number 216
_space_group_name_Hall 'F -4 2 3'
loop_
_atom_site_label
_atom_site_type_symbol
_atom_site_fract_x
_atom_site_fract_y
_atom_site_fract_z
Mg1 Mg 0.000 0.000 0.000
Ga1 Ga 0.000 0.000 0.500
Hg1 Hg 0.250 0.250 0.250
Bi1 Bi 0.250 0.250 0.750
# Total DFT energy (no corrections)   -2.26 eV/atom
# DOS at the Fermi energy   3.85 states/eV/cell
# Formation energy   -0.0554 eV/atom
# Density   8.3 g/cm³
# Crystal system   cubic



# Re5Ir, optimized geometry, DFT PBE-GGA
data_Re5Ir
_cell_length_a 4.8188
_cell_length_b 4.8188
_cell_length_c 4.4281
_cell_angle_alpha 90.00
_cell_angle_beta 90.00
_cell_angle_gamma 120.00
_space_group_name_H-M_alt 'P -6 2 m'
_space_group_IT_number 189
_space_group_name_Hall 'P -6 -2'
loop_
_atom_site_label
_atom_site_type_symbol
_atom_site_fract_x
_atom_site_fract_y
_atom_site_fract_z
Re1 Re 0.0000 0.6664 0.0000
Re2 Re 0.3333 0.6667 0.5000
Ir1 Ir 0.0000 0.0000 0.5000
# Total DFT energy (no corrections)   -11.96 eV/atom
# Relative energy among the computed polymorphs   9 meV per atom
# DOS at the Fermi energy   5.20 states/eV/cell
# Formation energy   -0.1084 eV/atom
# Density   20.9 g/cm³
# Crystal system   hexagonal



# Pr2GaPt, optimized geometry, DFT PBE-GGA
data_Pr2GaPt
_cell_length_a 4.1408
_cell_length_b 4.1408
_cell_length_c 28.6510
_cell_angle_alpha 90.00
_cell_angle_beta 90.00
_cell_angle_gamma 120.00
_space_group_name_H-M_alt 'R -3 m'
_space_group_IT_number 166
_space_group_name_Hall '-R 3 2"'
loop_
_atom_site_label
_atom_site_type_symbol
_atom_site_fract_x
_atom_site_fract_y
_atom_site_fract_z
Pr1 Pr 0.0000 0.0000 0.1097
Ga1 Ga 0.0000 0.0000 0.0000
Pt1 Pt 0.0000 0.0000 0.5000
# Total DFT energy (no corrections)   -4.97 eV/atom
# DOS at the Fermi energy   14.50 states/eV/cell
# Formation energy   -0.3097 eV/atom
# Density   6.4 g/cm³
# Crystal system   trigonal



Spin magnetization: 0.00, 0.00, 0.00 (μB/atom)